The following is a PBE calculation of a relaxed structure of TaCoW2, from the Alexandria database.

```
4
Lattice="3.2020 0.0000 0.0000 0.0000 3.2020 0.0000 0.0000 0.0000 6.0078" Properties=species:S:1:pos:R:3 pbc="T T T"
Ta 0.0000 0.0000 0.0000
Co 0.0000 0.0000 3.0039
W 1.6010 1.6010 1.6059
W 1.6010 1.6010 4.4019
```

E_tot in eV/cell: -44.23
ΔH_f (0 K) in eV/atom: 0.159
Energy relative to the lowest polymorph listed for this composition in meV/atom: 133.0